Material: DyMgSc2
Method: DFT, PBE
State: optimized geometry

distance to the lowest polymorph of the same formula = 110 meV/atom
SG = Fm-3m, No. 225
volume = 103 Å³/cell
uncorrected energy = -4.609 eV/atom

Cell lengths 5.2581, 5.2581, 5.2581 Å; angles 60.00, 60.00, 60.00 degrees
Each line ends with the local moment (μB).
Fractional positions:
Sc: 0.2500 0.2500 0.2500  0.12
Sc: 0.7500 0.7500 0.7500  0.12
Mg: 0.5000 0.5000 0.5000  0.00
Dy: 0.0000 0.0000 0.0000  0.16